Here is a PBEsol-optimized structure of HfS2Br from Alexandria via LeMat-Bulk. Energies are from meta-GGA SCAN.

Cell: 6.544 6.544 6.544 Å, 90.00 90.00 90.00°
Fractional positions:
Hf 0.000 0.000 0.000
Hf 0.000 0.500 0.500
Hf 0.500 0.000 0.500
Hf 0.500 0.500 0.000
S 0.250 0.250 0.250
S 0.250 0.250 0.750
S 0.250 0.750 0.250
S 0.250 0.750 0.750
S 0.750 0.250 0.250
S 0.750 0.250 0.750
S 0.750 0.750 0.250
S 0.750 0.750 0.750
Br 0.000 0.000 0.500
Br 0.000 0.500 0.000
Br 0.500 0.000 0.000
Br 0.500 0.500 0.500

Properties
crystal system: cubic
total DFT energy (no corrections): -25.631 eV per atom
magnetic moment: 0.00 μB per cell
ΔE_f (raw): -0.28 eV/atom

Here is a PBEsol-optimized structure of HfSBr2 from Alexandria via LeMat-Bulk. Energies are from meta-GGA SCAN.

Cell: 9.610 9.610 4.798 Å, 90.00 90.00 90.00°
Fractional positions:
Hf 0.000 0.000 0.000
Hf 0.000 0.500 0.250
Hf 0.500 0.000 0.750
Hf 0.500 0.500 0.500
S 0.000 0.000 0.500
S 0.000 0.500 0.750
S 0.500 0.000 0.250
S 0.500 0.500 0.000
Br 0.111 0.750 0.125
Br 0.250 0.111 0.875
Br 0.250 0.389 0.375
Br 0.389 0.750 0.625
Br 0.611 0.250 0.625
Br 0.750 0.611 0.375
Br 0.750 0.889 0.875
Br 0.889 0.250 0.125

Properties
crystal system: tetragonal
total DFT energy (no corrections): -28.976 eV per atom
magnetic moment: 0.00 μB per cell
ΔE_f (raw): -1.17 eV/atom

Question: Which formula does entry 1 have?
Answer: HfS2Br

Question: Look up the total DFT energy (no corrections) of the first one.
Answer: -25.631 eV per atom

Please write out number 1 again, unchanged.
Here is a PBEsol-optimized structure of HfS2Br from Alexandria via LeMat-Bulk. Energies are from meta-GGA SCAN.

Cell: 6.544 6.544 6.544 Å, 90.00 90.00 90.00°
Fractional positions:
Hf 0.000 0.000 0.000
Hf 0.000 0.500 0.500
Hf 0.500 0.000 0.500
Hf 0.500 0.500 0.000
S 0.250 0.250 0.250
S 0.250 0.250 0.750
S 0.250 0.750 0.250
S 0.250 0.750 0.750
S 0.750 0.250 0.250
S 0.750 0.250 0.750
S 0.750 0.750 0.250
S 0.750 0.750 0.750
Br 0.000 0.000 0.500
Br 0.000 0.500 0.000
Br 0.500 0.000 0.000
Br 0.500 0.500 0.500

Properties
crystal system: cubic
total DFT energy (no corrections): -25.631 eV per atom
magnetic moment: 0.00 μB per cell
ΔE_f (raw): -0.28 eV/atom